Computed, not measured: a relaxed structure of YMo2 at the PBE level of DFT.

ΔE_f ... 0.432 eV per atom
Electronic total energy ... -8.943 eV/atom
V ... 124.0 Å³ per cell

Unit cell a=4.7003 b=4.7003 c=6.4814 alpha=90.00 beta=90.00 gamma=120.00
Last column: nearest neighbours and their distance in Å.
Positions (direct):
Y (0.0000, 0.0000, 0.2500)  12 Mo 3.01-3.34, 2 Y 3.24
Y (0.0000, 0.0000, 0.7500)  12 Mo 3.01-3.34, 2 Y 3.24
Mo (0.6667, 0.3333, 0.4492)  4 Mo 2.58-2.79
Mo (0.3333, 0.6667, 0.5508)  4 Mo 2.58-2.79
Mo (0.6667, 0.3333, 0.0508)  4 Mo 2.58-2.79
Mo (0.3333, 0.6667, 0.9492)  4 Mo 2.58-2.79


Computed, not measured: a relaxed structure of MgSi2Pt at the PBE level of DFT.

Electronic total energy ... -4.702 eV/atom
V ... 62.9 Å³ per cell
Formation energy (no corrections) ... -0.33 eV/f.u.

Unit cell a=4.8002 b=4.8002 c=4.8002 alpha=130.24 beta=130.24 gamma=73.02
Last column: nearest neighbours and their distance in Å.
Positions (direct):
Si (0.5000, 0.5000, 0.0000)  4 Pt 2.79, 4 Mg 2.79, 4 Si 2.86
Si (0.0000, 0.0000, 0.0000)  4 Mg 2.79, 4 Pt 2.79, 4 Si 2.86
Pt (0.7500, 0.2500, 0.5000)  8 Si 2.79, 4 Mg 2.86
Mg (0.2500, 0.7500, 0.5000)  8 Si 2.79, 4 Pt 2.86


Computed, not measured: a relaxed structure of TcSe at the PBE level of DFT.

Electronic total energy ... -6.667 eV/atom
V ... 255.2 Å³ per cell
Formation energy (no corrections) ... 0.52 eV/f.u.

Unit cell a=4.0469 b=4.0469 c=17.9924 alpha=90.00 beta=90.00 gamma=120.00
Last column: nearest neighbours and their distance in Å.
Positions (direct):
Tc (0.3333, 0.6667, 0.6559)  3 Tc 2.39
Tc (0.6667, 0.3333, 0.0137)  3 Tc 2.39
Tc (0.0000, 0.0000, 0.6838)  3 Tc 2.39
Tc (0.6667, 0.3333, 0.3441)  3 Tc 2.39
Tc (0.3333, 0.6667, 0.9863)  3 Tc 2.39
Tc (0.0000, 0.0000, 0.3162)  3 Tc 2.39
Se (0.3333, 0.6667, 0.2369)  6 Tc 2.74-3.03
Se (0.6667, 0.3333, 0.5790)  6 Tc 2.72-3.00
Se (0.6667, 0.3333, 0.7631)  6 Tc 2.74-3.03
Se (0.0000, 0.0000, 0.9079)  6 Tc 2.73-3.01
Se (0.3333, 0.6667, 0.4210)  6 Tc 2.72-3.00
Se (0.0000, 0.0000, 0.0921)  6 Tc 2.73-3.01


Computed, not measured: a relaxed structure of NaCoRu at the PBE level of DFT.

ΔE_f ... 0.540 eV per atom
Electronic total energy ... -5.360 eV/atom
V ... 101.3 Å³ per cell

Unit cell a=13.2633 b=5.7989 c=5.7989 alpha=143.17 beta=151.41 gamma=28.59
Last column: nearest neighbours and their distance in Å.
Positions (direct):
Co (0.5993, 0.6879, 0.3121)  2 Co 2.34, 3 Ru 2.40-2.53
Co (0.4007, 0.3121, 0.6879)  2 Co 2.34, 3 Ru 2.40-2.53
Ru (0.1088, 0.1850, 0.8150)  4 Co 2.40-2.66, 2 Ru 2.47
Ru (0.8912, 0.8150, 0.1850)  4 Co 2.40-2.66, 2 Ru 2.47
Na (0.2546, 0.7461, 0.2539)  2 Na 2.54-2.64
Na (0.7454, 0.2539, 0.7461)  2 Na 2.54-2.64


Computed, not measured: a relaxed structure of LaNd6Sm3Y2 at the PBE level of DFT.

ΔE_f ... 0.015 eV per atom
Electronic total energy ... -5.037 eV/atom
V ... 415.2 Å³ per cell

Unit cell a=6.3396 b=6.3396 c=12.1158 alpha=95.02 beta=95.02 gamma=119.99
Last column: nearest neighbours and their distance in Å.
Positions (direct):
La (0.0000, 0.0000, 0.0000)  6 Y 3.66, 6 Nd 3.66-3.67
Nd (0.4175, 0.0837, 0.2506)  3 Sm 3.64-3.65, 6 Nd 3.66-3.67, 2 Y 3.66, 1 La 3.66
Nd (0.5825, 0.9163, 0.7494)  3 Sm 3.64-3.65, 6 Nd 3.66-3.67, 2 Y 3.66, 1 La 3.66
Nd (0.2500, 0.2500, 0.7491)  3 Sm 3.65, 6 Nd 3.66-3.67, 2 Y 3.66, 1 La 3.67
Nd (0.0837, 0.4175, 0.2506)  3 Sm 3.64-3.65, 6 Nd 3.66-3.67, 2 Y 3.66, 1 La 3.66
Nd (0.7500, 0.7500, 0.2509)  3 Sm 3.65, 6 Nd 3.66-3.67, 2 Y 3.66, 1 La 3.67
Nd (0.9163, 0.5825, 0.7494)  3 Sm 3.64-3.65, 6 Nd 3.66-3.67, 2 Y 3.66, 1 La 3.66
Sm (0.5000, 0.5000, 0.5000)  6 Nd 3.65, 6 Sm 3.65-3.66
Sm (0.1672, 0.8328, 0.5000)  6 Nd 3.64-3.65, 6 Sm 3.65-3.67
Sm (0.8328, 0.1672, 0.5000)  6 Nd 3.64-3.65, 6 Sm 3.65-3.67
Y (0.6665, 0.3335, 0.0000)  3 Y 3.66, 3 La 3.66, 6 Nd 3.66
Y (0.3335, 0.6665, 0.0000)  3 Y 3.66, 3 La 3.66, 6 Nd 3.66


Computed, not measured: a relaxed structure of LiNb2AgPb at the PBE level of DFT.

ΔE_f ... 1.554 eV per atom
Electronic total energy ... -4.168 eV/atom
V ... 141.3 Å³ per cell

Unit cell a=5.1021 b=5.4292 c=5.1021 alpha=90.00 beta=90.00 gamma=90.00
Last column: nearest neighbours and their distance in Å.
Positions (direct):
Nb (0.0000, 0.0000, 0.5000)  2 Ag 2.55
Nb (0.5000, 0.0000, 0.0000)  2 Ag 2.55
Li (0.5000, 0.5000, 0.5000)  4 Pb 3.61, 8 Nb 3.73
Pb (0.0000, 0.5000, 0.0000)  2 Ag 2.71
Ag (0.0000, 0.0000, 0.0000)  4 Nb 2.55, 2 Pb 2.71


Computed, not measured: a relaxed structure of SrTe2Br at the PBE level of DFT.

Electronic total energy ... -3.088 eV/atom
V ... 128.1 Å³ per cell
Formation energy (no corrections) ... -2.71 eV/f.u.

Unit cell a=5.6579 b=5.6579 c=5.6579 alpha=60.00 beta=60.00 gamma=60.00
Last column: nearest neighbours and their distance in Å.
Positions (direct):
Te (0.0000, 0.0000, 0.0000)  4 Te 3.46, 4 Sr 3.46
Te (0.2500, 0.2500, 0.2500)  4 Br 3.46, 4 Te 3.46
Sr (0.7500, 0.7500, 0.7500)  4 Br 3.46, 4 Te 3.46
Br (0.5000, 0.5000, 0.5000)  4 Sr 3.46, 4 Te 3.46


Computed, not measured: a relaxed structure of Dy6Ho7Er16 at the PBE level of DFT.

ΔE_f ... 0.252 eV per atom
Electronic total energy ... -4.323 eV/atom
V ... 938.2 Å³ per cell

Unit cell a=10.9884 b=10.9884 c=10.9884 alpha=60.00 beta=60.00 gamma=60.00
Last column: nearest neighbours and their distance in Å.
Positions (direct):
Er (0.3480, 0.3480, 0.3480)  3 Ho 3.20, 3 Dy 3.51, 3 Er 3.56
Er (0.6520, 0.6520, 0.0439)  3 Ho 3.20, 3 Dy 3.51, 3 Er 3.56
Er (0.6313, 0.1229, 0.1229)  4 Ho 3.31-3.38, 3 Er 3.56, 3 Dy 3.63
Er (0.8771, 0.3687, 0.8771)  4 Ho 3.31-3.38, 3 Er 3.56, 3 Dy 3.63
Er (0.3480, 0.9561, 0.3480)  3 Ho 3.20, 3 Dy 3.51, 3 Er 3.56
Er (0.8771, 0.8771, 0.3687)  4 Ho 3.31-3.38, 3 Er 3.56, 3 Dy 3.63
Er (0.0439, 0.6520, 0.6520)  3 Ho 3.20, 3 Dy 3.51, 3 Er 3.56
Er (0.1229, 0.1229, 0.6313)  4 Ho 3.31-3.38, 3 Er 3.56, 3 Dy 3.63
Er (0.3687, 0.8771, 0.8771)  4 Ho 3.31-3.38, 3 Er 3.56, 3 Dy 3.63
Er (0.6520, 0.0439, 0.6520)  3 Ho 3.20, 3 Dy 3.51, 3 Er 3.56
Er (0.1229, 0.1229, 0.1229)  4 Ho 3.31-3.38, 3 Er 3.56, 3 Dy 3.63
Er (0.6520, 0.6520, 0.6520)  3 Ho 3.20, 3 Dy 3.51, 3 Er 3.56
Er (0.9561, 0.3480, 0.3480)  3 Ho 3.20, 3 Dy 3.51, 3 Er 3.56
Er (0.3480, 0.3480, 0.9561)  3 Ho 3.20, 3 Dy 3.51, 3 Er 3.56
Er (0.8771, 0.8771, 0.8771)  4 Ho 3.31-3.38, 3 Er 3.56, 3 Dy 3.63
Er (0.1229, 0.6313, 0.1229)  4 Ho 3.31-3.38, 3 Er 3.56, 3 Dy 3.63
Dy (0.2786, 0.7214, 0.2786)  8 Er 3.51-3.63, 4 Ho 3.91
Dy (0.7214, 0.2786, 0.7214)  8 Er 3.51-3.63, 4 Ho 3.91
Dy (0.2786, 0.7214, 0.7214)  8 Er 3.51-3.63, 4 Ho 3.91
Dy (0.2786, 0.2786, 0.7214)  8 Er 3.51-3.63, 4 Ho 3.91
Dy (0.7214, 0.2786, 0.2786)  8 Er 3.51-3.63, 4 Ho 3.91
Dy (0.7214, 0.7214, 0.2786)  8 Er 3.51-3.63, 4 Ho 3.91
Ho (0.5000, 0.5000, 0.0000)  8 Er 3.20-3.38
Ho (0.0000, 0.0000, 0.5000)  8 Er 3.20-3.38
Ho (0.0000, 0.5000, 0.0000)  8 Er 3.20-3.38
Ho (0.5000, 0.0000, 0.0000)  8 Er 3.20-3.38
Ho (0.0000, 0.0000, 0.0000)  8 Er 3.31
Ho (0.5000, 0.0000, 0.5000)  8 Er 3.20-3.38
Ho (0.0000, 0.5000, 0.5000)  8 Er 3.20-3.38


Computed, not measured: a relaxed structure of CsCeHgI6 at the PBE level of DFT.

Electronic total energy ... -2.838 eV/atom
V ... 482.7 Å³ per cell
Formation energy (no corrections) ... -9.15 eV/f.u.

Unit cell a=8.1360 b=8.1350 c=8.4205 alpha=90.00 beta=90.00 gamma=60.01
Last column: nearest neighbours and their distance in Å.
Positions (direct):
Ce (0.6666, 0.6667, 0.5000)  6 I 3.13
I (0.0016, 0.6173, 0.7159)  1 Hg 3.11, 1 Ce 3.13
I (0.3811, 0.6173, 0.2842)  1 Hg 3.11, 1 Ce 3.13
I (0.0016, 0.3811, 0.2842)  1 Hg 3.11, 1 Ce 3.13
I (0.6173, 0.0017, 0.2841)  1 Hg 3.11, 1 Ce 3.13
I (0.3811, 0.0016, 0.7157)  1 Hg 3.11, 1 Ce 3.13
I (0.6173, 0.3811, 0.7159)  1 Hg 3.11, 1 Ce 3.13
Hg (0.3331, 0.3333, 0.5000)  6 I 3.11
Cs (0.0000, 0.0000, 0.0000)  6 I 3.92


Computed, not measured: a relaxed structure of Dy5BiP4 at the PBE level of DFT.

ΔE_f ... -1.423 eV per atom
Electronic total energy ... -6.276 eV/atom
V ... 243.2 Å³ per cell

Unit cell a=4.0423 b=7.1249 c=9.2089 alpha=75.70 beta=77.32 gamma=73.52
Last column: nearest neighbours and their distance in Å.
Positions (direct):
Dy (0.0000, 0.5000, 0.5000)  6 P 2.87-2.89
Dy (0.2075, 0.9030, 0.6820)  5 P 2.78-2.88, 1 Bi 3.06
Dy (0.6113, 0.6620, 0.1153)  4 P 2.77-2.97, 2 Bi 3.09
Dy (0.3887, 0.3380, 0.8847)  4 P 2.77-2.97, 2 Bi 3.09
Dy (0.7925, 0.0970, 0.3180)  5 P 2.78-2.88, 1 Bi 3.06
P (0.5971, 0.2050, 0.6007)  6 Dy 2.78-2.88
P (0.2032, 0.3875, 0.2061)  6 Dy 2.77-2.97
P (0.4029, 0.7950, 0.3993)  6 Dy 2.78-2.88
P (0.7968, 0.6125, 0.7939)  6 Dy 2.77-2.97
Bi (0.0000, 0.0000, 0.0000)  6 Dy 3.06-3.09


Computed, not measured: a relaxed structure of CuTe2F at the PBE level of DFT.

Electronic total energy ... -3.553 eV/atom
V ... 402.1 Å³ per cell
Formation energy (no corrections) ... -1.96 eV/f.u.

Unit cell a=3.8641 b=7.1634 c=14.5264 alpha=90.00 beta=90.00 gamma=90.00
Last column: nearest neighbours and their distance in Å.
Positions (direct):
Te (0.2501, 0.6756, 0.3127)  3 Cu 2.58-2.79
Te (0.7501, 0.8244, 0.6873)  3 Cu 2.58-2.79
Te (0.7499, 0.5091, 0.0662)  1 F 2.03
Te (0.2499, 0.9909, 0.9338)  1 F 2.03
Te (0.2499, 0.3244, 0.8127)  3 Cu 2.58-2.79
Te (0.2501, 0.0091, 0.4338)  1 F 2.03
Te (0.7499, 0.1756, 0.1873)  3 Cu 2.58-2.79
Te (0.7501, 0.4909, 0.5662)  1 F 2.03
Cu (0.7499, 0.9122, 0.3287)  5 Te 2.56-2.79
Cu (0.2501, 0.4122, 0.1713)  5 Te 2.56-2.79
Cu (0.7501, 0.0878, 0.8287)  5 Te 2.56-2.79
Cu (0.2499, 0.5878, 0.6713)  5 Te 2.56-2.79
F (0.7500, 0.2076, 0.5745)  1 Te 2.03
F (0.2500, 0.2924, 0.4255)  1 Te 2.03
F (0.2500, 0.7076, 0.9255)  1 Te 2.03
F (0.7500, 0.7924, 0.0745)  1 Te 2.03


Computed, not measured: a relaxed structure of Tb4ZnNi at the PBE level of DFT.

ΔE_f ... -0.269 eV per atom
Electronic total energy ... -4.532 eV/atom
V ... 594.4 Å³ per cell

Unit cell a=9.4379 b=9.4379 c=9.4379 alpha=60.00 beta=60.00 gamma=60.00
Last column: nearest neighbours and their distance in Å.
Positions (direct):
Tb (0.8141, 0.8141, 0.1859)  2 Zn 3.24, 2 Ni 3.42, 10 Tb 3.42-3.53
Tb (0.8141, 0.1859, 0.1859)  2 Zn 3.24, 2 Ni 3.42, 10 Tb 3.42-3.53
Tb (0.8060, 0.3980, 0.3980)  3 Ni 2.79
Tb (0.8141, 0.1859, 0.8141)  2 Zn 3.24, 2 Ni 3.42, 10 Tb 3.42-3.53
Tb (0.5579, 0.5579, 0.9421)  2 Ni 2.78
Tb (0.1859, 0.8141, 0.8141)  2 Zn 3.24, 2 Ni 3.42, 10 Tb 3.42-3.53
Tb (0.9421, 0.5579, 0.5579)  2 Ni 2.78
Tb (0.3980, 0.8060, 0.3980)  3 Ni 2.79
Tb (0.9421, 0.5579, 0.9421)  2 Ni 2.78
Tb (0.3980, 0.3980, 0.3980)  3 Ni 2.79
Tb (0.3980, 0.3980, 0.8060)  3 Ni 2.79
Tb (0.9421, 0.9421, 0.5579)  2 Ni 2.78
Tb (0.1859, 0.1859, 0.8141)  2 Zn 3.24, 2 Ni 3.42, 10 Tb 3.42-3.53
Tb (0.5579, 0.9421, 0.9421)  2 Ni 2.78
Tb (0.1859, 0.8141, 0.1859)  2 Zn 3.24, 2 Ni 3.42, 10 Tb 3.42-3.53
Tb (0.5579, 0.9421, 0.5579)  2 Ni 2.78
Zn (0.1714, 0.4859, 0.1714)  3 Zn 2.97, 6 Tb 3.24-3.30
Zn (0.1714, 0.1714, 0.1714)  3 Zn 2.97, 6 Tb 3.24-3.30
Zn (0.4859, 0.1714, 0.1714)  3 Zn 2.97, 6 Tb 3.24-3.30
Zn (0.1714, 0.1714, 0.4859)  3 Zn 2.97, 6 Tb 3.24-3.30
Ni (0.6067, 0.6067, 0.6067)  6 Tb 2.78-2.79
Ni (0.1800, 0.6067, 0.6067)  6 Tb 2.78-2.79
Ni (0.6067, 0.6067, 0.1800)  6 Tb 2.78-2.79
Ni (0.6067, 0.1800, 0.6067)  6 Tb 2.78-2.79